The following is a PBE calculation of crystalline KTePb2 at its relaxed geometry, from Alexandria.

## Properties
Its space group is I-42d, No. 122.

Cell lengths 9.587, 9.587, 7.550 Å; angles 50.59, 50.59, 90.00 degrees
Fractional coordinates of all 8 atoms:
Pb 0.672 0.125 0.250
Pb 0.078 0.625 0.250
Pb 0.375 0.328 0.750
Pb 0.875 0.922 0.750
K 0.500 0.500 0.000
K 0.250 0.750 0.500
Te 0.000 0.000 0.000
Te 0.750 0.250 0.500

=====

The following is a PBE calculation of crystalline KTePb at its relaxed geometry, from Alexandria.

## Properties
The calculation puts the polymorph energy (0 for the lowest one) at 0.094 eV/f.u. Its space group is P3m1, No. 156.

Cell lengths 5.440, 5.440, 4.480 Å; angles 90.00, 90.00, 120.00 degrees
Fractional coordinates of all 3 atoms:
K 0.000 0.000 0.000
Pb 0.667 0.333 0.497
Te 0.333 0.667 0.503

=====

The following is a PBE calculation of crystalline K3Te2Pb at its relaxed geometry, from Alexandria.

## Properties
Its space group is Ibam, No. 72.

Cell lengths 8.446, 7.853, 10.115 Å; angles 112.84, 114.67, 90.00 degrees
Last column: magnetic moment on the atom in μB.
Fractional coordinates of all 12 atoms:
K 0.500 0.250 0.000  0.00
K 0.500 0.750 0.000  0.00
K 0.765 0.015 0.531  0.00
K 0.235 0.485 0.469  0.00
K 0.235 0.985 0.469  0.00
K 0.765 0.515 0.531  0.00
Te 0.592 0.368 0.735  0.01
Te 0.857 0.132 0.265  0.01
Te 0.143 0.868 0.735  0.01
Te 0.408 0.632 0.265  0.01
Pb 0.000 0.500 0.000  0.11
Pb 0.000 0.000 0.000  0.11

=====

The following is a PBE calculation of crystalline K3Te3Pb at its relaxed geometry, from Alexandria.

## Properties
The calculation puts the polymorph energy (0 for the lowest one) at 0.000 eV/f.u. Its space group is C2/m, No. 12.

Cell lengths 9.405, 9.405, 8.013 Å; angles 94.73, 94.73, 116.60 degrees
Fractional coordinates of all 14 atoms:
K 0.603 0.603 0.351
K 0.197 0.803 0.500
K 0.803 0.197 0.500
K 0.237 0.763 0.000
K 0.763 0.237 0.000
K 0.397 0.397 0.649
Te 0.941 0.941 0.316
Te 0.830 0.535 0.730
Te 0.535 0.830 0.730
Te 0.170 0.465 0.270
Te 0.465 0.170 0.270
Te 0.059 0.059 0.684
Pb 0.820 0.820 0.895
Pb 0.180 0.180 0.105

=====

The following is a PBE calculation of crystalline KTePb at its relaxed geometry, from Alexandria.

## Properties
The calculation puts the polymorph energy (0 for the lowest one) at 0.529 eV/f.u. Its space group is Imm2, No. 44.

Cell lengths 6.019, 6.019, 6.019 Å; angles 133.81, 133.03, 68.00 degrees
Fractional coordinates of all 3 atoms:
K 0.008 0.008 0.000
Pb 0.350 0.350 0.000
Te 0.642 0.642 0.000

=====

The following is a PBE calculation of crystalline KTePb2 at its relaxed geometry, from Alexandria.

## Properties
Its space group is P2/m, No. 10.

Cell lengths 6.401, 3.404, 6.202 Å; angles 89.49, 90.00, 90.00 degrees
Fractional coordinates of all 4 atoms:
K 0.500 0.750 0.750
Pb 0.000 0.067 0.014
Pb 0.000 0.433 0.486
Te 0.500 0.250 0.250

=====

The following is a PBE calculation of crystalline KTe5Pb4 at its relaxed geometry, from Alexandria.

## Properties
Its space group is C2/m, No. 12.

Cell lengths 4.595, 8.136, 10.493 Å; angles 76.47, 77.35, 73.60 degrees
Fractional coordinates of all 10 atoms:
K 0.000 0.000 0.000
Te 0.203 0.909 0.686
Te 0.797 0.091 0.314
Te 0.390 0.329 0.890
Te 0.000 0.500 0.500
Te 0.610 0.671 0.110
Pb 0.601 0.200 0.599
Pb 0.202 0.397 0.199
Pb 0.798 0.603 0.801
Pb 0.399 0.800 0.401

=====

The following is a PBE calculation of crystalline K2TePb2 at its relaxed geometry, from Alexandria.

## Properties
The calculation puts the polymorph energy (0 for the lowest one) at 1.755 eV/f.u. Its space group is I4/mmm, No. 139.

Cell lengths 5.071, 5.071, 8.508 Å; angles 72.66, 72.66, 90.00 degrees
Fractional coordinates of all 5 atoms:
Pb 0.410 0.410 0.180
Pb 0.590 0.590 0.820
K 0.750 0.250 0.500
K 0.250 0.750 0.500
Te 0.000 0.000 0.000

=====

The following is a PBE calculation of crystalline KTePb2 at its relaxed geometry, from Alexandria.

## Properties
Its space group is I4/mmm, No. 139.

Cell lengths 6.758, 6.758, 6.758 Å; angles 138.74, 138.74, 59.77 degrees
Fractional coordinates of all 4 atoms:
K 0.750 0.250 0.500
Pb 0.000 0.000 0.000
Pb 0.500 0.500 0.000
Te 0.250 0.750 0.500

=====

The following is a PBE calculation of crystalline KTePb2 at its relaxed geometry, from Alexandria.

## Properties
Its space group is P4mm, No. 99.

Cell lengths 4.363, 4.363, 7.462 Å; angles 90.00, 90.00, 90.00 degrees
Fractional coordinates of all 4 atoms:
K 0.500 0.500 0.737
Pb 0.000 0.000 0.044
Pb 0.500 0.500 0.263
Te 0.000 0.000 0.456

=====

The following is a PBE calculation of crystalline K2TePb at its relaxed geometry, from Alexandria.

## Properties
The calculation puts the polymorph energy (0 for the lowest one) at 0.415 eV/f.u. Its space group is Cmmm, No. 65.

Cell lengths 3.646, 3.646, 10.737 Å; angles 90.00, 90.00, 89.89 degrees
Fractional coordinates of all 4 atoms:
K 0.000 0.000 0.976
K 0.000 0.000 0.524
Pb 0.500 0.500 0.250
Te 0.500 0.500 0.750

=====

The following is a PBE calculation of crystalline KTePb3 at its relaxed geometry, from Alexandria.

## Properties
The calculation puts the polymorph energy (0 for the lowest one) at 3.776 eV/f.u. Its space group is Pm-3m, No. 221.

Cell lengths 6.007, 6.007, 6.007 Å; angles 90.00, 90.00, 90.00 degrees
Fractional coordinates of all 5 atoms:
Pb 0.000 0.500 0.000
Pb 0.000 0.000 0.500
Pb 0.500 0.000 0.000
K 0.000 0.000 0.000
Te 0.500 0.500 0.500

=====

We obtain E_form (uncorrected) values of -0.78 -1.35 -3.97 -5.23 -0.91 -0.77 -4.49 0.52 -0.94 -1.22 -1.51 4.66 eV/f.u. for the records listed above, in that order.
We obtain E values of -3.108 -3.098 -2.876 -3.094 -2.953 -3.107 -3.613 -2.447 -3.150 -3.219 -2.639 -2.142 eV per atom for the records listed above, in that order.